Density functional theory data (GGA-PBE) for crystalline PrTm2Th at its relaxed geometry.

Results
The formation energy is 41 meV per atom. The crystal system is trigonal. As for the total moment: 0.000 μB per cell. The calculation puts the calculated total energy at -5.244 eV/atom.

POSCAR file:
```
PrTm2Th
1.0
3.573 0.000 0.000
1.786 3.094 0.000
1.786 1.031 11.624
Tm Pr Th
2 1 1
Cartesian
1.786 1.031 2.933
1.786 1.031 8.697
3.573 2.063 0.005
3.573 2.063 5.801
```